# KErPb2I8 GGA-PBE optimized geometry
# space-group type = No. 2
# calculated volume = 553.7 Å³/cell
# D(E_F) = 0.00 states/eV/atom
# formation energy without anion corrections = -0.99 eV per atom
data_KErPb2I8
_chemical_formula_sum 'K1 Er1 Pb2 I8'
_symmetry_space_group_name_H-M 'P 1'
_symmetry_Int_Tables_number 1
_cell_length_a 7.775
_cell_length_b 7.332
_cell_length_c 9.714
_cell_angle_alpha 89.94
_cell_angle_beta 89.98
_cell_angle_gamma 88.94
loop_
_symmetry_equiv_pos_as_xyz
'x,y,z'
loop_
_atom_site_label
_atom_site_fract_x
_atom_site_fract_y
_atom_site_fract_z
I1 0.363 0.267 0.500
I2 0.847 0.243 0.220
I3 0.848 0.244 0.780
I4 0.324 0.233 0.000
I5 0.637 0.733 0.500
I6 0.676 0.767 0.000
I7 0.153 0.757 0.780
I8 0.152 0.756 0.220
Er1 0.000 0.000 0.000
Pb1 0.500 0.500 0.751
Pb2 0.500 0.500 0.249
K1 0.000 0.000 0.500